(1)
A plane-wave DFT calculation with PBE was carried out for crystalline Tb3Dy5Ho4 at its relaxed geometry.

## Properties
Electronic total energy (eV/cell): -52.3
Excess energy over the best structure of this formula in the dataset (eV per atom): 0.225
Volume (Å³/atom): 31.96
ΔH_f (0 K) (meV per atom): 242

Cell lengths 8.4855, 8.4855, 9.2008 Å; angles 114.68, 114.68, 40.26 degrees
Closest atoms and distances in Å follow each position.
Fractional coordinates of all 12 atoms:
Tb: 0.0000 0.0000 0.0000  2 Dy 2.92
Tb: 0.2915 0.2915 0.7696  3 Dy 3.04-3.23, 2 Ho 3.27-3.37
Tb: 0.7085 0.7085 0.2304  3 Dy 3.04-3.23, 2 Ho 3.27-3.37
Dy: 0.0742 0.0742 0.6996  2 Tb 3.23-3.46, 1 Dy 3.37, 2 Ho 3.59
Dy: 0.1731 0.1731 0.3871  4 Tb 3.17-3.41, 3 Ho 3.40-3.51
Dy: 0.5000 0.5000 0.0000  4 Tb 2.92-3.04
Dy: 0.8269 0.8269 0.6129  4 Tb 3.17-3.41, 3 Ho 3.40-3.51
Dy: 0.9258 0.9258 0.3004  2 Tb 3.23-3.46, 1 Dy 3.37, 2 Ho 3.59
Ho: 0.2873 0.2873 0.1218  3 Tb 3.27-3.49, 3 Ho 3.55-3.62, 3 Dy 3.59-3.63
Ho: 0.4191 0.4191 0.5597  1 Ho 3.22, 1 Tb 3.37, 3 Dy 3.40-3.51
Ho: 0.5809 0.5809 0.4403  1 Ho 3.22, 1 Tb 3.37, 3 Dy 3.40-3.51
Ho: 0.7127 0.7127 0.8782  3 Tb 3.27-3.49, 3 Ho 3.55-3.62, 3 Dy 3.59-3.63



(2)
A plane-wave DFT calculation with PBE was carried out for crystalline FeAs2Pt at its relaxed geometry.

## Properties
Electronic total energy (eV/cell): -23.5
Excess energy over the best structure of this formula in the dataset (eV per atom): 0.261
Volume (Å³/atom): 15.26
ΔH_f (0 K) (meV per atom): 82

Cell lengths 3.1352, 3.1352, 6.2104 Å; angles 90.00, 90.00, 90.00 degrees
Closest atoms and distances in Å follow each position.
Fractional coordinates of all 4 atoms:
Fe: 0.0000 0.0000 0.0000  8 As 2.63
As: 0.5000 0.5000 0.2286  4 Fe 2.63, 4 Pt 2.78, 1 As 2.84
As: 0.5000 0.5000 0.7714  4 Fe 2.63, 4 Pt 2.78, 1 As 2.84
Pt: 0.0000 0.0000 0.5000  8 As 2.78, 2 Fe 3.11



(3)
A plane-wave DFT calculation with PBE was carried out for crystalline TaTi2Al5Ir2 at its relaxed geometry.

## Properties
Electronic total energy (eV/cell): -139.9
Volume (Å³/atom): 16.01
ΔH_f (0 K) (meV per atom): -586

Cell lengths 8.8487, 8.8487, 4.0896 Å; angles 90.00, 90.00, 90.00 degrees
Closest atoms and distances in Å follow each position.
Fractional coordinates of all 20 atoms:
Ta: 0.0000 0.0000 0.0000  8 Al 2.81
Ta: 0.5000 0.5000 0.0000  8 Al 2.81
Ti: 0.1726 0.3274 0.0000  3 Ir 2.54-2.66
Ti: 0.3274 0.8274 0.0000  3 Ir 2.54-2.66
Ti: 0.6726 0.1726 0.0000  3 Ir 2.54-2.66
Ti: 0.8274 0.6726 0.0000  3 Ir 2.54-2.66
Al: 0.0000 0.5000 0.5000  4 Ir 2.57, 4 Al 2.69
Al: 0.0722 0.7949 0.5000  2 Ir 2.58, 4 Al 2.69-2.79, 2 Ta 2.81
Al: 0.2051 0.0722 0.5000  2 Ir 2.58, 4 Al 2.69-2.79, 2 Ta 2.81
Al: 0.2949 0.5722 0.5000  2 Ir 2.58, 4 Al 2.69-2.79, 2 Ta 2.81
Al: 0.4278 0.2949 0.5000  2 Ir 2.58, 4 Al 2.69-2.79, 2 Ta 2.81
Al: 0.5000 0.0000 0.5000  4 Ir 2.57, 4 Al 2.69
Al: 0.5722 0.7051 0.5000  2 Ir 2.58, 4 Al 2.69-2.79, 2 Ta 2.81
Al: 0.7051 0.4278 0.5000  2 Ir 2.58, 4 Al 2.69-2.79, 2 Ta 2.81
Al: 0.7949 0.9278 0.5000  2 Ir 2.58, 4 Al 2.69-2.79, 2 Ta 2.81
Al: 0.9278 0.2051 0.5000  2 Ir 2.58, 4 Al 2.69-2.79, 2 Ta 2.81
Ir: 0.1246 0.6246 0.0000  3 Ti 2.54-2.66, 6 Al 2.57-2.58
Ir: 0.3754 0.1246 0.0000  3 Ti 2.54-2.66, 6 Al 2.57-2.58
Ir: 0.6246 0.8754 0.0000  3 Ti 2.54-2.66, 6 Al 2.57-2.58
Ir: 0.8754 0.3754 0.0000  3 Ti 2.54-2.66, 6 Al 2.57-2.58



(4)
A plane-wave DFT calculation with PBE was carried out for crystalline CaSi6Pd12 at its relaxed geometry.

## Properties
Electronic total energy (eV/cell): -109.2
ΔE_f (raw) (eV per atom): -0.65
Volume (Å³/atom): 16.30

Cell lengths 7.1051, 7.1051, 7.1051 Å; angles 105.56, 105.56, 105.56 degrees
Closest atoms and distances in Å follow each position.
Fractional coordinates of all 19 atoms:
Ca: 0.0000 0.0000 0.0000  6 Pd 3.39, 6 Si 3.72
Si: 0.2501 0.2501 0.6863  7 Pd 2.42-2.52
Si: 0.2501 0.6863 0.2501  7 Pd 2.42-2.52
Si: 0.3137 0.7499 0.7499  7 Pd 2.42-2.52
Si: 0.6863 0.2501 0.2501  7 Pd 2.42-2.52
Si: 0.7499 0.3137 0.7499  7 Pd 2.42-2.52
Si: 0.7499 0.7499 0.3137  7 Pd 2.42-2.52
Pd: 0.1257 0.5000 0.8743  4 Si 2.42-2.43
Pd: 0.1257 0.8743 0.5000  4 Si 2.42-2.43
Pd: 0.1732 0.4364 0.4364  3 Si 2.42-2.52
Pd: 0.4364 0.1732 0.4364  3 Si 2.42-2.52
Pd: 0.4364 0.4364 0.1732  3 Si 2.42-2.52
Pd: 0.5000 0.1257 0.8743  4 Si 2.42-2.43
Pd: 0.5000 0.8743 0.1257  4 Si 2.42-2.43
Pd: 0.5636 0.5636 0.8268  3 Si 2.42-2.52
Pd: 0.5636 0.8268 0.5636  3 Si 2.42-2.52
Pd: 0.8268 0.5636 0.5636  3 Si 2.42-2.52
Pd: 0.8743 0.1257 0.5000  4 Si 2.42-2.43
Pd: 0.8743 0.5000 0.1257  4 Si 2.42-2.43